Compound: KLuPb2
Source: the Alexandria database
Functional: PBE-GGA
Structure: relaxed

Cell lengths 4.047, 4.047, 8.077 Å; angles 90.00, 90.00, 90.00 degrees
Fractional coordinates of all 4 atoms:
1 Pb 0.000 0.000 0.803
2 Pb 0.000 0.000 0.197
3 K 0.500 0.500 0.500
4 Lu 0.500 0.500 0.000

Values from the calculation:
The value obtained for the final energy is -3.5294 eV per atom. The value obtained for the magnetic moment is 0.00 μB/f.u. The relative energy among the computed polymorphs is 0 meV/atom. The formation energy is -0.271 eV/atom. The value obtained for the density of states at the Fermi level is 0.33 states/eV/atom.